# Ti8P2S

A relaxed structure of Ti8P2S (GGA-PBE, Alexandria via LeMat-Bulk).

Calculated values
- Magnetization: 0.000 μB per formula unit
- Crystal system: monoclinic

```
data_Ti8P2S
_cell_length_a 14.782
_cell_length_b 3.481
_cell_length_c 6.698
_cell_angle_alpha 90.00
_cell_angle_beta 95.20
_cell_angle_gamma 90.00
_space_group_name_H-M_alt 'C 1 2/m 1'
_space_group_IT_number 12
loop_
_space_group_symop_operation_xyz
'x,y,z'
'-x,-y,-z'
'-x,y,-z'
'x,-y,z'
'x+1/2,y+1/2,z'
'-x+1/2,-y+1/2,-z'
'-x+1/2,y+1/2,-z'
'x+1/2,-y+1/2,z'
loop_
_atom_site_label
_atom_site_type_symbol
_atom_site_fract_x
_atom_site_fract_y
_atom_site_fract_z
Ti1 Ti 0.002 0.000 0.238
Ti2 Ti 0.094 0.500 0.521
Ti3 Ti 0.164 0.500 0.014
Ti4 Ti 0.208 0.000 0.351
P1 P 0.181 0.000 0.742
S1 S 0.000 0.500 0.000
```

***

# TiP3S

A relaxed structure of TiP3S (GGA-PBE, Alexandria via LeMat-Bulk).

Calculated values
- Magnetization: 0.002 μB per formula unit
- Distance to the lowest polymorph of the same formula: 0 meV per atom
- Crystal system: cubic

```
data_TiP3S
_cell_length_a 4.676
_cell_length_b 4.676
_cell_length_c 4.676
_cell_angle_alpha 90.00
_cell_angle_beta 90.00
_cell_angle_gamma 90.00
_space_group_name_H-M_alt 'P m -3 m'
_space_group_IT_number 221
_space_group_name_Hall '-P 4 2 3'
loop_
_atom_site_label
_atom_site_type_symbol
_atom_site_fract_x
_atom_site_fract_y
_atom_site_fract_z
Ti1 Ti 0.000 0.000 0.000
P1 P 0.000 0.000 0.500
S1 S 0.500 0.500 0.500
```

***

# Ti3PS3

A relaxed structure of Ti3PS3 (GGA-PBE, Alexandria via LeMat-Bulk).

Calculated values
- Magnetization: 0.000 μB per formula unit
- Crystal system: cubic

```
data_Ti3PS3
_cell_length_a 9.856
_cell_length_b 9.856
_cell_length_c 9.856
_cell_angle_alpha 90.00
_cell_angle_beta 90.00
_cell_angle_gamma 90.00
_space_group_name_H-M_alt 'I 41 3 2'
_space_group_IT_number 214
_space_group_name_Hall 'I 4bd 2c 3'
loop_
_atom_site_label
_atom_site_type_symbol
_atom_site_fract_x
_atom_site_fract_y
_atom_site_fract_z
Ti1 Ti 0.121 0.371 0.125
P1 P 0.125 0.125 0.125
S1 S 0.124 0.126 0.625
```

***

# Ti8PS2

A relaxed structure of Ti8PS2 (GGA-PBE, Alexandria via LeMat-Bulk).

Calculated values
- Magnetization: 0.000 μB per formula unit
- Crystal system: monoclinic

```
data_Ti8PS2
_cell_length_a 7.159
_cell_length_b 10.746
_cell_length_c 4.596
_cell_angle_alpha 90.00
_cell_angle_beta 106.46
_cell_angle_gamma 90.00
_space_group_name_H-M_alt 'C 1 2/m 1'
_space_group_IT_number 12
loop_
_space_group_symop_operation_xyz
'x,y,z'
'-x,-y,-z'
'-x,y,-z'
'x,-y,z'
'x+1/2,y+1/2,z'
'-x+1/2,-y+1/2,-z'
'-x+1/2,y+1/2,-z'
'x+1/2,-y+1/2,z'
loop_
_atom_site_label
_atom_site_type_symbol
_atom_site_fract_x
_atom_site_fract_y
_atom_site_fract_z
Ti1 Ti 0.000 0.236 0.000
Ti2 Ti 0.121 0.500 0.827
Ti3 Ti 0.199 0.119 0.583
P1 P 0.000 0.000 0.000
S1 S 0.000 0.313 0.500
```

***

The evaluated raw formation energy for the records listed, in turn: -829.4; 602.6; -1306.0; -664.4 meV per atom.